(1)
# Pm2SmHo2Er2

A relaxed structure of Pm2SmHo2Er2 (GGA-PBE, Alexandria).

Computed properties:
Magnetization, μB per formula unit: 0.0
Raw total energy, eV per cell: -31.46
ΔH_f (0 K), eV per atom: 0.1485
Symmetry: C2/m

Cell lengths 9.0012, 9.0012, 8.4248 Å; angles 116.28, 116.28, 22.39 degrees
Last column: nearest neighbours and their distance in Å.
Fractional positions:
Pm1 0.1482 0.1482 0.3862  3 Er 3.48-3.60, 4 Pm 3.49-3.67, 2 Ho 3.52-3.64, 2 Sm 3.62
Pm2 0.8518 0.8518 0.6138  3 Er 3.48-3.60, 4 Pm 3.49-3.67, 2 Ho 3.52-3.64, 2 Sm 3.62
Sm1 0.5000 0.5000 0.5000  2 Er 3.43, 2 Sm 3.49, 4 Ho 3.53, 4 Pm 3.62
Ho1 0.0706 0.0706 0.9063  3 Er 3.47-3.52, 3 Ho 3.49-3.50, 2 Pm 3.52-3.64, 2 Sm 3.53
Ho2 0.9294 0.9294 0.0937  3 Er 3.47-3.52, 3 Ho 3.49-3.50, 2 Pm 3.52-3.64, 2 Sm 3.53
Er1 0.2888 0.2888 0.2003  1 Sm 3.43, 3 Ho 3.47-3.52, 3 Pm 3.48-3.60, 4 Er 3.49
Er2 0.7112 0.7112 0.7997  1 Sm 3.43, 3 Ho 3.47-3.52, 3 Pm 3.48-3.60, 4 Er 3.49

---

(2)
# ErThCuAg

A relaxed structure of ErThCuAg (GGA-PBE, Alexandria).

Computed properties:
Magnetization, μB per formula unit: 0.0
Raw total energy, eV per cell: -19.40
ΔH_f (0 K), eV per atom: -0.1173
Symmetry: F-43m

Cell lengths 5.1112, 5.1112, 5.1112 Å; angles 60.00, 60.00, 60.00 degrees
Last column: nearest neighbours and their distance in Å.
Fractional positions:
Er1 0.0000 0.0000 0.0000  4 Cu 3.13, 4 Ag 3.13
Th1 0.5000 0.5000 0.5000  4 Cu 3.13, 4 Ag 3.13
Cu1 0.7500 0.7500 0.7500  4 Th 3.13, 4 Er 3.13
Ag1 0.2500 0.2500 0.2500  4 Th 3.13, 4 Er 3.13

---

(3)
# ZnCrSi2

A relaxed structure of ZnCrSi2 (GGA-PBE, Alexandria).

Computed properties:
Magnetization, μB per formula unit: 2.3
Formation energy from raw total energies, meV/atom: 216
Raw total energy, eV per cell: -20.88
Symmetry: Cmmm

Cell lengths 4.5833, 4.5833, 2.7529 Å; angles 90.00, 90.00, 109.45 degrees
Last column: nearest neighbours and their distance in Å.
Fractional positions:
Zn1 0.0000 0.0000 0.0000  2 Cr 2.65, 8 Si 2.67, 2 Zn 2.75
Cr1 0.5000 0.5000 0.0000  2 Zn 2.65, 8 Si 2.67, 2 Cr 2.75
Si1 0.0000 0.5000 0.5000  4 Si 2.65-2.75, 4 Cr 2.67, 4 Zn 2.67
Si2 0.5000 0.0000 0.5000  4 Si 2.65-2.75, 4 Cr 2.67, 4 Zn 2.67

---

(4)
# Ba2ZnCrPd

A relaxed structure of Ba2ZnCrPd (GGA-PBE, Alexandria).

Computed properties:
Magnetization, μB per formula unit: 4.4
Raw total energy, eV per cell: -17.87
ΔH_f (0 K), eV per atom: 0.4122
Symmetry: P4/mmm

Cell lengths 6.1239, 6.1239, 4.8334 Å; angles 90.00, 90.00, 90.00 degrees
Last column: nearest neighbours and their distance in Å.
Fractional positions:
Ba1 0.0000 0.5000 0.0000  2 Zn 3.06
Ba2 0.5000 0.0000 0.0000  2 Zn 3.06
Zn1 0.0000 0.0000 0.0000  2 Cr 2.42
Cr1 0.0000 0.0000 0.5000  2 Zn 2.42
Pd1 0.5000 0.5000 0.5000  8 Ba 3.90, 4 Cr 4.33

---

(5)
# SbAs2Br

A relaxed structure of SbAs2Br (GGA-PBE, Alexandria).

Computed properties:
Magnetization, μB per formula unit: 0.0
Formation energy from raw total energies, meV/atom: 188
Raw total energy, eV per cell: -14.34
Symmetry: R-3m

Cell lengths 7.4354, 7.4354, 7.4354 Å; angles 31.81, 31.81, 31.81 degrees
Last column: nearest neighbours and their distance in Å.
Fractional positions:
Sb1 0.0000 0.0000 0.0000  6 As 2.84
As1 0.2580 0.2580 0.2580  3 Sb 2.84, 3 Br 3.05
As2 0.7420 0.7420 0.7420  3 Sb 2.84, 3 Br 3.05
Br1 0.5000 0.5000 0.5000  6 As 3.05

---

(6)
# MgMoPt

A relaxed structure of MgMoPt (GGA-PBE, Alexandria).

Computed properties:
Magnetization, μB per formula unit: 0.0
Raw total energy, eV per cell: -77.74
ΔH_f (0 K), eV per atom: -0.3231
Symmetry: Pnma

Cell lengths 7.7641, 3.1904, 8.4152 Å; angles 90.00, 90.00, 90.00 degrees
Last column: nearest neighbours and their distance in Å.
Fractional positions:
Mg1 0.0601 0.2500 0.1578  5 Pt 2.78-2.92
Mg2 0.4399 0.7500 0.6578  5 Pt 2.78-2.92
Mg3 0.5601 0.2500 0.3422  5 Pt 2.78-2.92
Mg4 0.9399 0.7500 0.8422  5 Pt 2.78-2.92
Mo1 0.1042 0.2500 0.5564  2 Mo 2.46, 3 Pt 2.66-2.68
Mo2 0.3958 0.7500 0.0564  2 Mo 2.46, 3 Pt 2.66-2.68
Mo3 0.6042 0.2500 0.9436  2 Mo 2.46, 3 Pt 2.66-2.68
Mo4 0.8958 0.7500 0.4436  2 Mo 2.46, 3 Pt 2.66-2.68
Pt1 0.2324 0.2500 0.8500  3 Mo 2.66-2.68, 5 Mg 2.78-2.92
Pt2 0.2676 0.7500 0.3500  3 Mo 2.66-2.68, 5 Mg 2.78-2.92
Pt3 0.7324 0.2500 0.6500  3 Mo 2.66-2.68, 5 Mg 2.78-2.92
Pt4 0.7676 0.7500 0.1500  3 Mo 2.66-2.68, 5 Mg 2.78-2.92